The following is a PBE-GGA calculation of a geometry-optimized Tb6NdSm2Dy structure, from Alexandria via LeMat-Bulk.

The structure in POSCAR format:
```
Tb6NdSm2Dy
1.0
4.529 -7.558 0.000
4.529 7.558 0.000
-1.539 0.000 9.644
Tb Nd Sm Dy
12 2 4 2
Direct
0.027 0.577 0.184
0.122 0.746 0.557
0.254 0.878 0.943
0.292 0.501 0.379
0.423 0.973 0.316
0.499 0.708 0.121
0.501 0.292 0.879
0.577 0.027 0.684
0.708 0.499 0.621
0.746 0.122 0.057
0.878 0.254 0.443
0.973 0.423 0.816
0.405 0.595 0.750
0.595 0.405 0.250
0.190 0.293 0.042
0.293 0.190 0.542
0.707 0.810 0.458
0.810 0.707 0.958
0.020 0.980 0.250
0.980 0.020 0.750
```

## Properties
The magnetic moment is 0.00 μB per atom. As for the space group: C2/c, No. 15. The calculation puts the density of states at the Fermi level at 30.090 states/eV/cell. The value obtained for the total energy is -4.54 eV per atom. The formation energy comes out at 12 kJ per mole of atoms.

The following is a PBE-GGA calculation of a geometry-optimized Pr8Os3NCl3 structure, from Alexandria via LeMat-Bulk.

The structure in POSCAR format:
```
Pr8Os3NCl3
1.0
7.056 -4.074 0.000
7.056 4.074 0.000
-4.709 0.000 7.550
Pr Os N Cl
8 3 1 3
Direct
0.220 0.220 0.691
0.221 0.750 0.691
0.250 0.779 0.309
0.261 0.261 0.285
0.739 0.739 0.715
0.750 0.221 0.691
0.779 0.250 0.309
0.780 0.780 0.309
0.000 0.500 0.500
0.500 0.000 0.500
0.500 0.500 0.500
0.000 0.000 0.500
0.000 0.000 0.000
0.000 0.500 0.000
0.500 0.000 0.000
```

## Properties
The magnetic moment is 0.04 μB per atom. As for the space group: C2/m, No. 12. The calculation puts the density of states at the Fermi level at 8.029 states/eV/cell. The uncorrected formation energy comes out at -0.7055 eV/atom. The value obtained for the total energy is -6.42 eV per atom.

The following is a PBE-GGA calculation of a geometry-optimized CsTa2Nb structure, from Alexandria via LeMat-Bulk.

The structure in POSCAR format:
```
CsTa2Nb
1.0
4.226 0.000 0.000
0.000 4.226 0.000
0.000 0.000 20.797
Cs Ta Nb
4 8 4
Direct
0.000 0.000 0.000
0.000 0.500 0.250
0.500 0.000 0.750
0.500 0.500 0.500
0.220 0.250 0.625
0.250 0.720 0.875
0.250 0.780 0.375
0.280 0.250 0.125
0.720 0.750 0.125
0.750 0.220 0.375
0.750 0.280 0.875
0.780 0.750 0.625
0.000 0.000 0.500
0.000 0.500 0.750
0.500 0.000 0.250
0.500 0.500 0.000
```

## Properties
The magnetic moment is 0.00 μB per atom. As for the space group: I-42d, No. 122. The calculation puts the density of states at the Fermi level at 25.927 states/eV/cell. The energy above the lowest structure with this stoichiometry is 0.3023 eV per atom. The value obtained for the total energy is -6.64 eV per atom. The formation energy comes out at 194 kJ per mole of atoms.

The following is a PBE-GGA calculation of a geometry-optimized TbCe2Pm3Dy6 structure, from Alexandria via LeMat-Bulk.

The structure in POSCAR format:
```
TbCe2Pm3Dy6
1.0
3.091 -5.354 0.000
3.091 5.354 0.000
-2.060 0.000 11.589
Tb Ce Pm Dy
1 2 3 6
Direct
0.000 0.000 0.000
0.334 0.666 0.000
0.666 0.334 0.000
0.166 0.834 0.500
0.500 0.500 0.500
0.834 0.166 0.500
0.083 0.418 0.247
0.253 0.253 0.753
0.418 0.083 0.247
0.582 0.917 0.753
0.747 0.747 0.247
0.917 0.582 0.753
```

## Properties
The magnetic moment is 0.16 μB per atom. As for the space group: C2/m, No. 12. The calculation puts the density of states at the Fermi level at 20.617 states/eV/cell. The value obtained for the total energy is -4.82 eV per atom. The formation energy comes out at 4 kJ per mole of atoms.

The following is a PBE-GGA calculation of a geometry-optimized CrInPbCl2 structure, from Alexandria via LeMat-Bulk.

The structure in POSCAR format:
```
CrInPbCl2
1.0
5.340 0.000 0.000
0.000 5.340 0.000
0.000 0.000 5.632
Cr In Pb Cl
1 1 1 2
Direct
0.000 0.000 0.000
0.000 0.000 0.500
0.500 0.500 0.000
0.000 0.500 0.500
0.500 0.000 0.500
```

## Properties
The magnetic moment is 0.92 μB per atom. As for the space group: P4/mmm, No. 123. The calculation puts the density of states at the Fermi level at 3.979 states/eV/cell. The uncorrected formation energy comes out at 0.2510 eV/atom. The value obtained for the total energy is -3.70 eV per atom.

The following is a PBE-GGA calculation of a geometry-optimized NaMg2NiPb structure, from Alexandria via LeMat-Bulk.

The structure in POSCAR format:
```
NaMg2NiPb
1.0
4.992 0.000 0.000
0.000 4.992 0.000
0.000 0.000 4.972
Na Mg Ni Pb
1 2 1 1
Direct
0.000 0.000 0.000
0.000 0.500 0.500
0.500 0.000 0.500
0.500 0.500 0.500
0.500 0.500 0.000
```

## Properties
The magnetic moment is 0.00 μB per atom. As for the space group: P4/mmm, No. 123. The calculation puts the density of states at the Fermi level at 1.710 states/eV/cell. The value obtained for the total energy is -2.82 eV per atom. The formation energy comes out at -2 kJ per mole of atoms.

The following is a PBE-GGA calculation of a geometry-optimized La8CeEr2 structure, from Alexandria via LeMat-Bulk.

The structure in POSCAR format:
```
La8CeEr2
1.0
-2.895 4.090 8.137
2.895 -4.090 8.137
2.895 4.090 -8.137
La Ce Er
8 1 2
Direct
0.159 0.368 0.792
0.161 0.161 0.000
0.282 0.000 0.282
0.424 0.632 0.792
0.576 0.368 0.208
0.718 0.000 0.718
0.839 0.839 0.000
0.841 0.632 0.208
0.000 0.500 0.500
0.299 0.799 0.500
0.701 0.201 0.500
```

## Properties
The magnetic moment is 0.00 μB per atom. As for the space group: Immm, No. 71. The calculation puts the density of states at the Fermi level at 20.356 states/eV/cell. The value obtained for the total energy is -4.85 eV per atom. The formation energy comes out at 10 kJ per mole of atoms.

The following is a PBE-GGA calculation of a geometry-optimized Ac2Sm3Mg2 structure, from Alexandria via LeMat-Bulk.

The structure in POSCAR format:
```
Ac2Sm3Mg2
1.0
3.811 0.000 0.000
0.000 33.788 0.000
0.000 0.000 3.783
Ac Sm Mg
4 6 4
Direct
0.000 0.199 0.000
0.000 0.801 0.000
0.500 0.301 0.000
0.500 0.699 0.000
0.000 0.071 0.000
0.000 0.500 0.500
0.000 0.929 0.000
0.500 0.000 0.500
0.500 0.429 0.000
0.500 0.571 0.000
0.000 0.370 0.500
0.000 0.630 0.500
0.500 0.130 0.500
0.500 0.870 0.500
```

## Properties
The magnetic moment is 0.02 μB per atom. As for the space group: Cmmm, No. 65. The calculation puts the density of states at the Fermi level at 19.359 states/eV/cell. The value obtained for the total energy is -3.62 eV per atom. The formation energy comes out at 4 kJ per mole of atoms.

Please write out number 3 again, unchanged.
The following is a PBE-GGA calculation of a geometry-optimized CsTa2Nb structure, from Alexandria via LeMat-Bulk.

The structure in POSCAR format:
```
CsTa2Nb
1.0
4.226 0.000 0.000
0.000 4.226 0.000
0.000 0.000 20.797
Cs Ta Nb
4 8 4
Direct
0.000 0.000 0.000
0.000 0.500 0.250
0.500 0.000 0.750
0.500 0.500 0.500
0.220 0.250 0.625
0.250 0.720 0.875
0.250 0.780 0.375
0.280 0.250 0.125
0.720 0.750 0.125
0.750 0.220 0.375
0.750 0.280 0.875
0.780 0.750 0.625
0.000 0.000 0.500
0.000 0.500 0.750
0.500 0.000 0.250
0.500 0.500 0.000
```

## Properties
The magnetic moment is 0.00 μB per atom. As for the space group: I-42d, No. 122. The calculation puts the density of states at the Fermi level at 25.927 states/eV/cell. The energy above the lowest structure with this stoichiometry is 0.3023 eV per atom. The value obtained for the total energy is -6.64 eV per atom. The formation energy comes out at 194 kJ per mole of atoms.